The following is a PBE calculation of a relaxed structure of Mg, from Alexandria via LeMat-Bulk.

Relative energy among the computed polymorphs ... 0.011 eV per formula unit
Energy of formation from the pure elements ... 11 meV/atom
Uncorrected energy ... -1.584 eV per atom
Fermi-level density of states ... 1.90 states/eV/cell
Total moment ... 0.00 μB per formula unit

Geometry as POSCAR:
```
Mg
1.0
4.5218 0.0000 0.0000
0.0000 4.5218 0.0000
0.0000 0.0000 4.5218
Mg
4
Direct
0.0000 0.0000 0.0000
0.0000 0.5000 0.5000
0.5000 0.0000 0.5000
0.5000 0.5000 0.0000
```

=====

The following is a PBE calculation of a relaxed structure of Zn2RhPb, from Alexandria via LeMat-Bulk.

Energy of formation from the pure elements ... -41 meV/atom
Uncorrected energy ... -3.443 eV per atom
Fermi-level density of states ... 2.94 states/eV/cell
Total moment ... 0.00 μB per formula unit

Geometry as POSCAR:
```
Zn2RhPb
1.0
3.3501 0.0000 0.0000
0.0000 3.3501 0.0000
0.0000 0.0000 6.5119
Zn Rh Pb
2 1 1
Direct
0.0000 0.0000 0.0000
0.5000 0.5000 0.2242
0.5000 0.5000 0.8288
0.0000 0.0000 0.5438
```

=====

The following is a PBE calculation of a relaxed structure of HoMg2Tl4, from Alexandria via LeMat-Bulk.

Energy of formation from the pure elements ... -101 meV/atom
Uncorrected energy ... -2.563 eV per atom
Fermi-level density of states ... 9.31 states/eV/cell
Total moment ... 0.00 μB per formula unit

Geometry as POSCAR:
```
HoMg2Tl4
1.0
7.0174 0.0000 0.0000
0.0000 7.0174 0.0000
0.0000 0.0000 7.8881
Ho Mg Tl
2 4 8
Direct
0.0000 0.0000 0.0000
0.5000 0.5000 0.5000
0.0000 0.5000 0.0000
0.0000 0.5000 0.5000
0.5000 0.0000 0.0000
0.5000 0.0000 0.5000
0.2500 0.2500 0.2500
0.2500 0.2500 0.7500
0.2500 0.7500 0.2500
0.2500 0.7500 0.7500
0.7500 0.2500 0.2500
0.7500 0.2500 0.7500
0.7500 0.7500 0.2500
0.7500 0.7500 0.7500
```

=====

The following is a PBE calculation of a relaxed structure of PmErBeNi, from Alexandria via LeMat-Bulk.

Energy of formation from the pure elements ... -88 meV/atom
Uncorrected energy ... -4.793 eV per atom
Fermi-level density of states ... 11.49 states/eV/cell
Total moment ... 0.00 μB per formula unit

Geometry as POSCAR:
```
PmErBeNi
1.0
6.8564 0.0000 0.0000
0.0000 6.8564 0.0000
0.0000 0.0000 6.8564
Pm Er Be Ni
4 4 4 4
Direct
0.0000 0.0000 0.0000
0.0000 0.5000 0.5000
0.5000 0.0000 0.5000
0.5000 0.5000 0.0000
0.0000 0.0000 0.5000
0.0000 0.5000 0.0000
0.5000 0.0000 0.0000
0.5000 0.5000 0.5000
0.2500 0.2500 0.7500
0.2500 0.7500 0.2500
0.7500 0.2500 0.2500
0.7500 0.7500 0.7500
0.2500 0.2500 0.2500
0.2500 0.7500 0.7500
0.7500 0.2500 0.7500
0.7500 0.7500 0.2500
```

=====

The following is a PBE calculation of a relaxed structure of CrPbAu2, from Alexandria via LeMat-Bulk.

Energy of formation from the pure elements ... 230 meV/atom
Uncorrected energy ... -4.741 eV per atom
Fermi-level density of states ... 8.12 states/eV/cell
Total moment ... 4.39 μB per formula unit

Geometry as POSCAR:
```
CrPbAu2
1.0
6.8481 0.0000 0.0000
0.0000 6.8481 0.0000
0.0000 0.0000 6.8481
Cr Pb Au
4 4 8
Direct
0.0000 0.0000 0.0000
0.0000 0.5000 0.5000
0.5000 0.0000 0.5000
0.5000 0.5000 0.0000
0.2500 0.2500 0.2500
0.2500 0.7500 0.7500
0.7500 0.2500 0.7500
0.7500 0.7500 0.2500
0.0000 0.0000 0.5000
0.0000 0.5000 0.0000
0.2500 0.2500 0.7500
0.2500 0.7500 0.2500
0.5000 0.0000 0.0000
0.5000 0.5000 0.5000
0.7500 0.2500 0.2500
0.7500 0.7500 0.7500
```

=====

The following is a PBE calculation of a relaxed structure of Tl2NiSe, from Alexandria via LeMat-Bulk.

Relative energy among the computed polymorphs ... 2.111 eV per formula unit
Uncorrected energy ... -3.143 eV per atom
Fermi-level density of states ... 6.87 states/eV/cell
Total moment ... 0.48 μB per formula unit

Geometry as POSCAR:
```
Tl2NiSe
1.0
4.3353 0.0000 0.0000
0.0000 4.3353 0.0000
0.0000 0.0000 9.9928
Tl Ni Se
4 2 2
Direct
0.0000 0.5000 0.2500
0.0000 0.5000 0.7500
0.5000 0.0000 0.2500
0.5000 0.0000 0.7500
0.0000 0.0000 0.0000
0.5000 0.5000 0.5000
0.0000 0.0000 0.5000
0.5000 0.5000 0.0000
```

=====

The following is a PBE calculation of a relaxed structure of Ac2Zn6AgPd, from Alexandria via LeMat-Bulk.

Energy of formation from the pure elements ... -185 meV/atom
Uncorrected energy ... -2.576 eV per atom
Fermi-level density of states ... 5.82 states/eV/cell
Total moment ... 0.00 μB per formula unit

Geometry as POSCAR:
```
Ac2Zn6AgPd
1.0
-3.4648 3.4648 4.8820
3.4648 -3.4648 4.8820
3.4648 3.4648 -4.8820
Ac Zn Ag Pd
2 6 1 1
Direct
0.2500 0.7500 0.5000
0.7500 0.2500 0.5000
0.2470 0.2470 0.0000
0.2470 0.2470 0.4940
0.2470 0.7530 0.0000
0.7530 0.2470 0.0000
0.7530 0.7530 0.0000
0.7530 0.7530 0.5060
0.5000 0.5000 0.0000
0.0000 0.0000 0.0000
```

=====

The following is a PBE calculation of a relaxed structure of Ti2OsAu, from Alexandria via LeMat-Bulk.

Energy of formation from the pure elements ... -389 meV/atom
Uncorrected energy ... -7.963 eV per atom
Fermi-level density of states ... 4.35 states/eV/cell
Total moment ... 0.00 μB per formula unit

Geometry as POSCAR:
```
Ti2OsAu
1.0
4.5206 0.0000 0.0000
0.0000 4.5206 0.0000
0.0000 0.0000 3.1272
Ti Os Au
2 1 1
Direct
0.0000 0.5000 0.0000
0.5000 0.0000 0.0000
0.0000 0.0000 0.5000
0.5000 0.5000 0.5000
```

=====

The following is a PBE calculation of a relaxed structure of PmPrPa, from Alexandria via LeMat-Bulk.

Relative energy among the computed polymorphs ... 0.438 eV per formula unit
Energy of formation from the pure elements ... 329 meV/atom
Uncorrected energy ... -6.013 eV per atom
Fermi-level density of states ... 5.18 states/eV/cell
Total moment ... 0.00 μB per formula unit

Geometry as POSCAR:
```
PmPrPa
1.0
5.6538 0.0000 0.0000
-2.8269 4.8964 0.0000
0.0000 0.0000 3.3715
Pm Pr Pa
1 1 1
Direct
0.0000 0.0000 0.0000
0.6667 0.3333 0.0000
0.3333 0.6667 0.5000
```

=====

The following is a PBE calculation of a relaxed structure of Y4ScTl5, from Alexandria via LeMat-Bulk.

Energy of formation from the pure elements ... -352 meV/atom
Uncorrected energy ... -4.753 eV per atom
Fermi-level density of states ... 7.93 states/eV/cell
Total moment ... 0.00 μB per formula unit

Geometry as POSCAR:
```
Y4ScTl5
1.0
3.7025 0.0000 0.0000
0.0000 3.7025 0.0000
0.0000 0.0000 19.4116
Y Sc Tl
4 1 5
Direct
0.0000 0.0000 0.1031
0.0000 0.0000 0.3086
0.0000 0.0000 0.6914
0.0000 0.0000 0.8969
0.0000 0.0000 0.5000
0.5000 0.5000 0.0000
0.5000 0.5000 0.2063
0.5000 0.5000 0.4107
0.5000 0.5000 0.5893
0.5000 0.5000 0.7937
```

=====

The following is a PBE calculation of a relaxed structure of CdTePb2, from Alexandria via LeMat-Bulk.

Relative energy among the computed polymorphs ... 0.370 eV per formula unit
Uncorrected energy ... -2.843 eV per atom
Fermi-level density of states ... 11.00 states/eV/cell
Total moment ... 0.00 μB per formula unit

Geometry as POSCAR:
```
CdTePb2
1.0
7.8456 0.0000 0.0000
0.0000 7.8456 0.0000
0.0000 0.0000 7.8456
Cd Te Pb
4 4 8
Direct
0.0000 0.0000 0.0000
0.0000 0.5000 0.5000
0.5000 0.0000 0.5000
0.5000 0.5000 0.0000
0.0000 0.0000 0.5000
0.0000 0.5000 0.0000
0.5000 0.0000 0.0000
0.5000 0.5000 0.5000
0.2500 0.2500 0.2500
0.2500 0.2500 0.7500
0.2500 0.7500 0.2500
0.2500 0.7500 0.7500
0.7500 0.2500 0.2500
0.7500 0.2500 0.7500
0.7500 0.7500 0.2500
0.7500 0.7500 0.7500
```

=====

The following is a PBE calculation of a relaxed structure of LiRhF5, from Alexandria via LeMat-Bulk.

Relative energy among the computed polymorphs ... 0.000 eV per formula unit
Uncorrected energy ... -4.571 eV per atom
Fermi-level density of states ... 5.69 states/eV/cell
Total moment ... 1.01 μB per formula unit

Geometry as POSCAR:
```
LiRhF5
1.0
3.9829 -3.8428 0.0000
3.9829 3.8428 0.0000
-3.6121 0.0000 6.6009
Li Rh F
2 2 10
Direct
0.1010 0.8990 0.7500
0.8990 0.1010 0.2500
0.5000 0.5000 0.0000
0.5000 0.5000 0.5000
0.1943 0.2605 0.8492
0.2195 0.7018 0.5410
0.2605 0.1943 0.3492
0.2982 0.7805 0.9590
0.4103 0.5897 0.2500
0.5897 0.4103 0.7500
0.7018 0.2195 0.0410
0.7395 0.8057 0.6508
0.7805 0.2982 0.4590
0.8057 0.7395 0.1508
```

=====

The following is a PBE calculation of a relaxed structure of AlCd2, from Alexandria via LeMat-Bulk.

Energy of formation from the pure elements ... 156 meV/atom
Uncorrected energy ... -1.701 eV per atom
Fermi-level density of states ... 2.45 states/eV/cell
Total moment ... 0.00 μB per formula unit

Geometry as POSCAR:
```
AlCd2
1.0
3.9278 0.0000 0.0000
0.0000 3.9278 0.0000
0.0000 0.0000 8.4009
Al Cd
2 4
Direct
0.0000 0.0000 0.0000
0.5000 0.5000 0.5000
0.0000 0.0000 0.3323
0.0000 0.0000 0.6677
0.5000 0.5000 0.1677
0.5000 0.5000 0.8323
```

=====

The following is a PBE calculation of a relaxed structure of Y3SbH, from Alexandria via LeMat-Bulk.

Relative energy among the computed polymorphs ... 0.225 eV per formula unit
Uncorrected energy ... -5.905 eV per atom
Fermi-level density of states ... 5.10 states/eV/cell
Total moment ... 0.00 μB per formula unit

Geometry as POSCAR:
```
Y3SbH
1.0
4.7953 0.0000 0.0000
0.0000 4.7953 0.0000
0.0000 0.0000 4.7953
Y Sb H
3 1 1
Direct
0.0000 0.0000 0.5000
0.0000 0.5000 0.0000
0.5000 0.0000 0.0000
0.5000 0.5000 0.5000
0.0000 0.0000 0.0000
```

=====

The following is a PBE calculation of a relaxed structure of RhPbSe2, from Alexandria via LeMat-Bulk.

Uncorrected energy ... -4.836 eV per atom
Fermi-level density of states ... 11.18 states/eV/cell
Total moment ... 0.00 μB per formula unit

Geometry as POSCAR:
```
RhPbSe2
1.0
3.6827 0.0000 0.0000
-1.8413 3.1893 0.0000
0.0000 0.0000 26.1124
Rh Pb Se
3 3 6
Direct
0.0000 0.0000 0.0000
0.3333 0.6667 0.6667
0.6667 0.3333 0.3333
0.0000 0.0000 0.5000
0.3333 0.6667 0.1667
0.6667 0.3333 0.8333
0.0000 0.0000 0.3832
0.0000 0.0000 0.6168
0.3333 0.6667 0.0499
0.3333 0.6667 0.2835
0.6667 0.3333 0.7165
0.6667 0.3333 0.9501
```

=====

The following is a PBE calculation of a relaxed structure of CsH3Br, from Alexandria via LeMat-Bulk.

Relative energy among the computed polymorphs ... 0.000 eV per formula unit
Uncorrected energy ... -2.791 eV per atom
Total moment ... 1.00 μB per formula unit

Geometry as POSCAR:
```
CsH3Br
1.0
5.7568 0.0000 0.0000
0.0000 6.5244 0.0000
-1.3513 0.0000 6.8609
Cs H Br
2 6 2
Direct
0.2135 0.2500 0.2979
0.7865 0.7500 0.7021
0.2591 0.7500 0.4722
0.4515 0.0261 0.9638
0.4515 0.4739 0.9638
0.5485 0.5261 0.0362
0.5485 0.9739 0.0362
0.7409 0.2500 0.5278
0.0400 0.2500 0.7636
0.9600 0.7500 0.2364
```

=====

The following is a PBE calculation of a relaxed structure of NaYTl2, from Alexandria via LeMat-Bulk.

Energy of formation from the pure elements ... -233 meV/atom
Uncorrected energy ... -3.362 eV per atom
Fermi-level density of states ... 0.81 states/eV/cell
Total moment ... 0.00 μB per formula unit

Geometry as POSCAR:
```
NaYTl2
1.0
7.5555 0.0000 0.0000
0.0000 7.5555 0.0000
0.0000 0.0000 7.5555
Na Y Tl
4 4 8
Direct
0.0000 0.0000 0.0000
0.0000 0.5000 0.5000
0.5000 0.0000 0.5000
0.5000 0.5000 0.0000
0.0000 0.0000 0.5000
0.0000 0.5000 0.0000
0.5000 0.0000 0.0000
0.5000 0.5000 0.5000
0.2500 0.2500 0.2500
0.2500 0.2500 0.7500
0.2500 0.7500 0.2500
0.2500 0.7500 0.7500
0.7500 0.2500 0.2500
0.7500 0.2500 0.7500
0.7500 0.7500 0.2500
0.7500 0.7500 0.7500
```

=====

The following is a PBE calculation of a relaxed structure of TbPr4Er2Tm, from Alexandria via LeMat-Bulk.

Energy of formation from the pure elements ... 10 meV/atom
Uncorrected energy ... -4.658 eV per atom
Fermi-level density of states ... 10.32 states/eV/cell
Total moment ... 0.00 μB per formula unit

Geometry as POSCAR:
```
TbPr4Er2Tm
1.0
5.1421 0.0000 0.0000
0.0000 5.1770 0.0000
-0.0017 0.0000 10.0196
Tb Pr Er Tm
1 4 2 1
Direct
0.0000 0.0000 0.0000
0.0011 0.5000 0.7487
0.4987 0.0000 0.2514
0.5013 0.0000 0.7486
0.9989 0.5000 0.2513
0.0000 0.0000 0.5000
0.5000 0.5000 0.0000
0.5000 0.5000 0.5000
```

=====

The following is a PBE calculation of a relaxed structure of FeP2SI, from Alexandria via LeMat-Bulk.

Relative energy among the computed polymorphs ... 6.217 eV per formula unit
Uncorrected energy ... -3.219 eV per atom
Fermi-level density of states ... 7.43 states/eV/cell
Total moment ... 3.86 μB per formula unit

Geometry as POSCAR:
```
FeP2SI
1.0
5.1280 0.0000 0.0000
0.0000 5.1280 0.0000
0.0000 0.0000 4.9751
Fe P S I
1 2 1 1
Direct
0.0000 0.0000 0.0000
0.0000 0.5000 0.5000
0.5000 0.0000 0.5000
0.5000 0.5000 0.0000
0.5000 0.5000 0.5000
```

=====

The following is a PBE calculation of a relaxed structure of LaCu2N2, from Alexandria via LeMat-Bulk.

Relative energy among the computed polymorphs ... 3.216 eV per formula unit
Uncorrected energy ... -5.343 eV per atom
Fermi-level density of states ... 8.45 states/eV/cell
Total moment ... 0.00 μB per formula unit

Geometry as POSCAR:
```
LaCu2N2
1.0
6.5205 0.0000 0.0000
0.0000 6.5205 0.0000
0.0000 0.0000 3.1825
La Cu N
2 4 4
Direct
0.0000 0.0000 0.0000
0.5000 0.5000 0.0000
0.1268 0.3732 0.5000
0.3732 0.8732 0.5000
0.6268 0.1268 0.5000
0.8732 0.6268 0.5000
0.1615 0.6615 0.0000
0.3385 0.1615 0.0000
0.6615 0.8385 0.0000
0.8385 0.3385 0.0000
```

=====

The following is a PBE calculation of a relaxed structure of BeAl2Zn2Cu5, from Alexandria via LeMat-Bulk.

Energy of formation from the pure elements ... 23 meV/atom
Uncorrected energy ... -3.401 eV per atom
Fermi-level density of states ... 3.99 states/eV/cell
Total moment ... 0.00 μB per formula unit

Geometry as POSCAR:
```
BeAl2Zn2Cu5
1.0
9.7049 0.0000 0.0000
0.0000 9.7049 0.0000
0.0000 0.0000 2.8369
Be Al Zn Cu
2 4 4 10
Direct
0.0000 0.0000 0.0000
0.5000 0.5000 0.0000
0.1559 0.3441 0.0000
0.3441 0.8441 0.0000
0.6559 0.1559 0.0000
0.8441 0.6559 0.0000
0.1530 0.6530 0.0000
0.3470 0.1530 0.0000
0.6530 0.8470 0.0000
0.8470 0.3470 0.0000
0.0000 0.5000 0.5000
0.0014 0.8102 0.5000
0.1898 0.0014 0.5000
0.3102 0.5014 0.5000
0.4986 0.3102 0.5000
0.5000 0.0000 0.5000
0.5014 0.6898 0.5000
0.6898 0.4986 0.5000
0.8102 0.9986 0.5000
0.9986 0.1898 0.5000
```

=====

The following is a PBE calculation of a relaxed structure of Tm11Cd9Cu4, from Alexandria via LeMat-Bulk.

Energy of formation from the pure elements ... -313 meV/atom
Uncorrected energy ... -3.388 eV per atom
Fermi-level density of states ... 17.16 states/eV/cell
Total moment ... 0.00 μB per formula unit

Geometry as POSCAR:
```
Tm11Cd9Cu4
1.0
7.1868 -10.7270 0.0000
7.1868 10.7270 0.0000
0.0000 0.0000 3.6239
Tm Cd Cu
11 9 4
Direct
0.0000 0.0000 0.0000
0.0782 0.4161 0.0000
0.1623 0.8377 0.0000
0.3045 0.3045 0.0000
0.3687 0.6313 0.0000
0.4161 0.0782 0.0000
0.5839 0.9218 0.0000
0.6313 0.3687 0.0000
0.6955 0.6955 0.0000
0.8377 0.1623 0.0000
0.9218 0.5839 0.0000
0.0710 0.2161 0.5000
0.1549 0.6326 0.5000
0.2161 0.0710 0.5000
0.3674 0.8451 0.5000
0.5000 0.5000 0.5000
0.6326 0.1549 0.5000
0.7839 0.9290 0.5000
0.8451 0.3674 0.5000
0.9290 0.7839 0.5000
0.2543 0.4512 0.5000
0.4512 0.2543 0.5000
0.5488 0.7457 0.5000
0.7457 0.5488 0.5000
```

=====

The following is a PBE calculation of a relaxed structure of TaNbPd2, from Alexandria via LeMat-Bulk.

Relative energy among the computed polymorphs ... 0.041 eV per formula unit
Energy of formation from the pure elements ... -301 meV/atom
Uncorrected energy ... -8.378 eV per atom
Fermi-level density of states ... 3.48 states/eV/cell
Total moment ... 0.00 μB per formula unit

Geometry as POSCAR:
```
TaNbPd2
1.0
3.9925 0.0000 0.0000
0.0000 3.9925 0.0000
0.0000 0.0000 4.1268
Ta Nb Pd
1 1 2
Direct
0.0000 0.0000 0.0000
0.5000 0.5000 0.0000
0.0000 0.5000 0.5000
0.5000 0.0000 0.5000
```